1.
Density functional theory data (PBE-GGA) for a geometry-optimized TcGeSeN2 structure.

Calculated values
- DOS(E_F) (states/eV/atom) = 0.525
- symmetry = P4/mmm
- calculated density (kg/m3) = 5511
- crystal system = tetragonal
- formation energy without anion corrections (eV per atom) = 1.427
- E above lowest polymorph (eV per atom) = 0.859
- V (Å³/f.u.) = 84

Structure (extended XYZ):
```
5
Lattice="-1.545 -0.652 3.287 3.236 -1.228 1.278 1.445 5.691 1.808" Properties=species:S:1:pos:R:3 pbc="T T T"
Se 0.723 2.846 0.904
N 1.618 -0.614 0.639
N -0.773 -0.326 1.643
Tc 1.568 1.906 3.187
Ge 0.000 0.000 0.000
```

---

2.
Density functional theory data (PBE-GGA) for a geometry-optimized MgTlBr structure.

Calculated values
- DOS(E_F) (states/eV/atom) = 0.032
- symmetry = Fmm2
- calculated density (kg/m3) = 5355
- crystal system = orthorhombic
- formation energy without anion corrections (eV per atom) = -0.488
- E above lowest polymorph (eV per atom) = 0.075
- V (Å³/f.u.) = 96

Structure (extended XYZ):
```
3
Lattice="8.502 0.053 -0.037 7.428 3.493 0.036 1.074 -1.163 3.238" Properties=species:S:1:pos:R:3 pbc="T T T"
Mg 6.297 0.493 2.099
Br 15.287 3.342 0.140
Tl 11.350 2.094 0.998
```

---

3.
Density functional theory data (PBE-GGA) for a geometry-optimized NaTmGeS4 structure.

Calculated values
- DOS(E_F) (states/eV/atom) = 0.144
- symmetry = Imma
- calculated density (kg/m3) = 4120
- crystal system = orthorhombic
- formation energy without anion corrections (eV per atom) = -1.044
- V (Å³/f.u.) = 158

Structure (extended XYZ):
```
14
Lattice="7.366 0.000 0.000 3.683 6.702 -0.050 3.683 1.994 6.399" Properties=species:S:1:pos:R:3 pbc="T T T"
S 3.683 2.233 1.493
S 5.543 3.228 4.828
S 9.190 5.468 1.520
S 7.366 2.246 1.502
Tm 0.000 0.000 0.000
S 11.050 6.463 4.856
Tm 3.683 4.348 3.174
S 9.190 3.228 4.828
Na 5.525 0.997 3.199
Na 1.842 0.997 3.199
Ge 7.366 4.401 5.685
S 5.543 5.468 1.520
Ge 7.366 4.295 0.664
S 7.366 6.450 4.847
```

---

4.
Density functional theory data (PBE-GGA) for a geometry-optimized CdCoBr2 structure.

Calculated values
- DOS(E_F) (states/eV/atom) = 0.452
- symmetry = C2/m
- calculated density (kg/m3) = 5144
- crystal system = monoclinic
- formation energy without anion corrections (eV per atom) = 0.282
- E above lowest polymorph (eV per atom) = 0.407
- V (Å³/f.u.) = 107

Structure (extended XYZ):
```
4
Lattice="-3.177 4.233 2.889 -1.048 -1.379 -5.058 -3.945 -2.184 -0.403" Properties=species:S:1:pos:R:3 pbc="T T T"
Cd -2.496 -1.781 -2.731
Co -2.112 1.427 -1.085
Br -3.561 1.025 1.243
Br 0.000 0.000 0.000
```

---

5.
Density functional theory data (PBE-GGA) for a geometry-optimized NiIrSe2N structure.

Calculated values
- DOS(E_F) (states/eV/atom) = 0.997
- symmetry = P4/mmm
- calculated density (kg/m3) = 7467
- crystal system = tetragonal
- formation energy without anion corrections (eV per atom) = 0.717
- E above lowest polymorph (eV per atom) = 0.000
- V (Å³/f.u.) = 94

Structure (extended XYZ):
```
5
Lattice="-2.791 -4.270 0.023 2.895 -1.912 -3.740 2.223 -1.440 2.457" Properties=species:S:1:pos:R:3 pbc="T T T"
Ir 0.000 0.000 0.000
Se -1.396 -2.135 0.011
Se 1.448 -0.956 -1.870
Ni 1.164 -3.811 -0.630
N 1.111 -0.720 1.229
```

---

6.
Density functional theory data (PBE-GGA) for a geometry-optimized CaHf3Be structure.

Calculated values
- DOS(E_F) (states/eV/atom) = 1.609
- symmetry = Pm-3m
- calculated density (kg/m3) = 8375
- crystal system = cubic
- DFT formation energy (eV/atom) = 0.48
- E above lowest polymorph (eV per atom) = 0.000
- V (Å³/f.u.) = 116

Structure (extended XYZ):
```
5
Lattice="-4.572 -1.118 -1.274 -0.351 -2.962 3.857 -1.658 3.708 2.697" Properties=species:S:1:pos:R:3 pbc="T T T"
Hf -0.175 -1.481 1.929
Hf -2.286 -0.559 -0.637
Be 0.000 0.000 0.000
Ca -3.290 -0.186 2.640
Hf -0.829 1.854 1.348
```